Entry from Alexandria: AcIn3Cu after structural relaxation (PBE).

Unit cell a=4.6646 b=9.2553 c=11.8326 alpha=90.00 beta=90.00 gamma=90.00
Last column: nearest neighbours and their distance in Å.
Positions (direct):
Ac1 0.7500 0.8125 0.0005  10 In 3.44-3.83, 2 Cu 3.48
Ac2 0.2500 0.6875 0.5005  10 In 3.44-3.83, 2 Cu 3.48
Ac3 0.7500 0.3125 0.4995  10 In 3.44-3.83, 2 Cu 3.48
Ac4 0.2500 0.1875 0.9995  10 In 3.44-3.83, 2 Cu 3.48
In1 0.2500 0.5634 0.0893  3 Cu 2.74-2.84, 1 In 2.97
In2 0.7500 0.4366 0.9107  3 Cu 2.74-2.84, 1 In 2.97
In3 0.2500 0.0634 0.4107  3 Cu 2.74-2.84, 1 In 2.97
In4 0.7500 0.9366 0.5893  3 Cu 2.74-2.84, 1 In 2.97
In5 0.2500 0.3776 0.7116  2 Cu 2.69-2.71
In6 0.7500 0.1224 0.2116  2 Cu 2.69-2.71
In7 0.2500 0.8776 0.7884  2 Cu 2.69-2.71
In8 0.7500 0.6328 0.7119  2 Cu 2.93, 2 In 2.97-3.16
In9 0.2500 0.3672 0.2881  2 Cu 2.93, 2 In 2.97-3.16
In10 0.7500 0.1328 0.7881  2 Cu 2.93, 2 In 2.97-3.16
In11 0.7500 0.6224 0.2884  2 Cu 2.69-2.71
In12 0.2500 0.8672 0.2119  2 Cu 2.93, 2 In 2.97-3.16
Cu1 0.2500 0.0988 0.6403  7 In 2.69-2.93
Cu2 0.2500 0.5988 0.8597  7 In 2.69-2.93
Cu3 0.7500 0.4012 0.1403  7 In 2.69-2.93
Cu4 0.7500 0.9012 0.3597  7 In 2.69-2.93

## Properties
* DOS at the Fermi energy: 7.74 states/eV/cell
* offset from the most stable computed form: 0 meV/atom

=====

Entry from Alexandria: AcInCu after structural relaxation (PBE).

Unit cell a=3.5992 b=3.5992 c=6.5140 alpha=106.04 beta=106.04 gamma=90.00
Last column: nearest neighbours and their distance in Å.
Positions (direct):
Ac1 0.9881 0.9881 0.9762  4 Cu 3.29, 5 In 3.48-3.58, 4 Ac 3.60
Cu1 0.3137 0.3137 0.6273  4 In 2.90
In1 0.6983 0.6983 0.3965  4 Cu 2.90

## Properties
* DOS at the Fermi energy: 2.24 states/eV/cell
* offset from the most stable computed form: 216 meV/atom

=====

Entry from Alexandria: Ac4InCu2 after structural relaxation (PBE).

Unit cell a=5.4422 b=5.4422 c=9.7268 alpha=73.75 beta=73.75 gamma=60.00
Last column: nearest neighbours and their distance in Å.
Positions (direct):
Ac1 0.7083 0.7083 0.8752  4 Cu 3.05-3.23
Ac2 0.8816 0.8816 0.3553  3 In 3.41, 3 Cu 3.43, 3 Ac 3.79
Ac3 0.2917 0.2917 0.1248  4 Cu 3.05-3.23
Ac4 0.1184 0.1184 0.6447  3 In 3.41, 3 Cu 3.43, 3 Ac 3.79
In1 0.5000 0.5000 0.5000  2 Cu 2.70
Cu1 0.5978 0.5978 0.2066  1 In 2.70
Cu2 0.4022 0.4022 0.7934  1 In 2.70

## Properties
* DOS at the Fermi energy: 7.03 states/eV/cell

=====

Entry from Alexandria: AcIn12Cu4 after structural relaxation (PBE).

Unit cell a=8.2348 b=8.2348 c=8.2348 alpha=109.47 beta=109.47 gamma=109.47
Last column: nearest neighbours and their distance in Å.
Positions (direct):
Ac1 0.0000 0.0000 0.0000  12 In 3.61
In1 0.8327 0.3404 0.1731  2 Cu 2.65
In2 0.3404 0.5077 0.1673  2 Cu 2.65
In3 0.8269 0.1673 0.6596  2 Cu 2.65
In4 0.3404 0.1731 0.8327  2 Cu 2.65
In5 0.1731 0.8327 0.3404  2 Cu 2.65
In6 0.6596 0.4923 0.8327  2 Cu 2.65
In7 0.5077 0.1673 0.3404  2 Cu 2.65
In8 0.4923 0.8327 0.6596  2 Cu 2.65
In9 0.6596 0.8269 0.1673  2 Cu 2.65
In10 0.8327 0.6596 0.4923  2 Cu 2.65
In11 0.1673 0.3404 0.5077  2 Cu 2.65
In12 0.1673 0.6596 0.8269  2 Cu 2.65
Cu1 0.0000 0.5000 0.0000  6 In 2.65
Cu2 0.5000 0.0000 0.0000  6 In 2.65
Cu3 0.5000 0.5000 0.5000  6 In 2.65
Cu4 0.0000 0.0000 0.5000  6 In 2.65

## Properties
* DOS at the Fermi energy: 7.28 states/eV/cell

=====

Entry from Alexandria: AcIn7Cu5 after structural relaxation (PBE).

Unit cell a=5.6423 b=7.3977 c=7.3977 alpha=82.06 beta=67.58 gamma=67.58
Last column: nearest neighbours and their distance in Å.
Positions (direct):
Ac1 0.0018 0.9982 0.9982  10 In 3.28-3.59, 6 Cu 3.57-3.63
In1 0.6528 0.3472 0.3472  5 In 2.99-3.17, 4 Cu 3.05
In2 0.3428 0.6572 0.6572  6 Cu 2.86-3.03, 1 In 2.99
In3 0.9847 0.3608 0.6697  5 Cu 2.81-3.08, 2 In 3.00-3.14
In4 0.9847 0.6697 0.3608  5 Cu 2.81-3.08, 2 In 3.00-3.14
In5 0.2712 0.2288 0.2288  4 Cu 2.86, 6 In 3.04-3.14
In6 0.5138 0.7821 0.1903  5 Cu 2.74-2.92, 1 In 3.06
In7 0.5138 0.1903 0.7821  5 Cu 2.74-2.92, 1 In 3.06
Cu1 0.4938 0.9904 0.5067  3 Cu 2.73-2.91, 6 In 2.74-3.05
Cu2 0.0091 0.9904 0.5067  3 Cu 2.73-2.91, 6 In 2.74-3.05
Cu3 0.4938 0.5067 0.9904  3 Cu 2.73-2.91, 6 In 2.74-3.05
Cu4 0.0091 0.5067 0.9904  3 Cu 2.73-2.91, 6 In 2.74-3.05
Cu5 0.7284 0.7716 0.7716  4 Cu 2.77, 6 In 2.86-3.03

## Properties
* DOS at the Fermi energy: 3.73 states/eV/cell

=====

Entry from Alexandria: AcInCu2Ir after structural relaxation (PBE).

Unit cell a=4.0521 b=4.2511 c=6.6930 alpha=108.52 beta=107.62 gamma=90.00
Last column: nearest neighbours and their distance in Å.
Positions (direct):
Ac1 0.4292 0.4292 0.8584  4 Ir 3.11, 6 Cu 3.30-3.45
In1 0.1873 0.6873 0.3745  6 Cu 2.66-2.94, 2 Ir 2.76
Cu1 0.6974 0.1974 0.3948  2 Cu 2.65, 2 Ir 2.76, 4 In 2.94
Cu2 0.0549 0.0549 0.1098  1 Ir 2.54, 2 Cu 2.65, 2 In 2.66
Ir1 0.8434 0.8434 0.6867  3 Cu 2.54-2.76, 2 In 2.76

## Properties
* DOS at the Fermi energy: 2.87 states/eV/cell

=====

no.,spin magnetization (Bohr magnetons per cell),total energy (eV per cell),energy of formation (eV/atom)
1,0.00,-71.77,-0.3047
2,0.00,-11.25,-0.1038
3,0.00,-27.83,-0.0666
4,0.00,-53.28,0.0042
5,0.00,-44.90,-0.0878
6,0.00,-25.23,-0.2655